(1)
A plane-wave DFT calculation with GGA-PBE was carried out for an optimized crystal structure of MgHg2S3.

Lattice parameters (Å, degrees): 7.2070 7.2070 7.2070 146.26 60.01 131.94
With the nearest neighbours (Å) after each atom.
Element x y z (fractional)
Mg: 0.0000 0.0000 0.0000  4 S 2.47
Hg: 0.3301 0.9949 0.3352  4 S 2.59-2.60
Hg: 0.6597 0.9949 0.6648  4 S 2.59-2.60
S: 0.2250 0.7250 0.5000  2 Mg 2.47, 2 Hg 2.60
S: 0.5948 0.7556 0.8392  1 Mg 2.47, 3 Hg 2.59
S: 0.9164 0.7556 0.1608  1 Mg 2.47, 3 Hg 2.59

=====

(2)
A plane-wave DFT calculation with GGA-PBE was carried out for an optimized crystal structure of Mg2HgS2.

Computed properties:
As for the density of states at the Fermi level: 0.00 states/eV/atom. For the offset from the most stable computed form, the calculation gives 0.0 meV/atom.

Lattice parameters (Å, degrees): 7.6108 7.6108 7.6108 145.82 145.82 49.12
With the nearest neighbours (Å) after each atom.
Element x y z (fractional)
Mg: 0.2500 0.7500 0.5000  4 S 2.48
Mg: 0.7500 0.2500 0.5000  4 S 2.48
Hg: 0.0000 0.0000 0.0000  8 S 3.96, 8 Mg 4.12
S: 0.3280 0.3280 0.0000  4 Mg 2.48
S: 0.6720 0.6720 0.0000  4 Mg 2.48

=====

The records above give, respectively, electronic total energy values of -2.983, -3.320 eV/atom.
The records above give, respectively, ΔE_f (raw) values of -0.5525, -0.9704 eV/atom.